# 1
Computed, not measured: crystalline Pr5Er2Tm at its relaxed geometry at the PBE level of DFT.

Structure (POSCAR):
```
Pr5Er2Tm
1.0
-4.6250 4.6250 6.4204
4.6250 -4.6250 6.4204
4.6250 4.6250 -6.4204
Pr Er Tm
10 4 2
Direct
0.0000 0.0000 0.0000
0.0136 0.5136 0.1988
0.1852 0.9864 0.5000
0.3148 0.8148 0.8012
0.4864 0.6852 0.5000
0.5000 0.5000 0.0000
0.5136 0.3148 0.5000
0.6852 0.1852 0.1988
0.8148 0.0136 0.5000
0.9864 0.4864 0.8012
0.1448 0.3552 0.5000
0.3552 0.8552 0.2103
0.6448 0.1448 0.7897
0.8552 0.6448 0.5000
0.2500 0.2500 0.0000
0.7500 0.7500 0.0000
```

Properties
The value obtained for the magnetization is 0.58 μB per cell. For the raw total energy, the calculation gives -4.57 eV/atom. Its space-group type is I4/mcm, No. 140.


# 2
Computed, not measured: crystalline Pr2Er3Tm9 at its relaxed geometry at the PBE level of DFT.

Structure (POSCAR):
```
Pr2Er3Tm9
1.0
8.5392 -7.4401 0.0000
8.5392 7.4401 0.0000
-0.7336 0.0000 3.4732
Pr Er Tm
2 3 9
Direct
0.2302 0.7698 0.0000
0.7698 0.2302 0.0000
0.1983 0.1983 0.1984
0.5000 0.5000 0.5000
0.8017 0.8017 0.8016
0.0000 0.0000 0.5000
0.0220 0.6303 0.3267
0.2444 0.4619 0.8534
0.3697 0.9780 0.6733
0.4619 0.2444 0.8534
0.5381 0.7556 0.1466
0.6303 0.0220 0.3267
0.7556 0.5381 0.1466
0.9780 0.3697 0.6733
```

Properties
The value obtained for the magnetization is 0.00 μB per cell. For the raw total energy, the calculation gives -4.46 eV/atom. Its space-group type is C2/m, No. 12.


# 3
Computed, not measured: crystalline Pr2Er12Tm5 at its relaxed geometry at the PBE level of DFT.

Structure (POSCAR):
```
Pr2Er12Tm5
1.0
6.1013 0.0000 0.0000
-0.0189 9.3277 0.0000
-1.0163 -2.0120 10.3195
Pr Er Tm
2 12 5
Direct
0.0790 0.3137 0.4732
0.9210 0.6863 0.5268
0.0267 0.1043 0.1556
0.1323 0.5262 0.7924
0.1844 0.7367 0.1042
0.2901 0.1571 0.7391
0.3953 0.5797 0.3660
0.4476 0.7912 0.6867
0.5524 0.2088 0.3133
0.6047 0.4203 0.6340
0.7099 0.8429 0.2609
0.8156 0.2633 0.8958
0.8677 0.4738 0.2076
0.9733 0.8957 0.8444
0.2384 0.9475 0.4199
0.3421 0.3682 0.0516
0.5000 0.0000 0.0000
0.6579 0.6318 0.9484
0.7616 0.0525 0.5801
```

Properties
The value obtained for the magnetization is 0.00 μB per cell. For the raw total energy, the calculation gives -4.54 eV/atom. Its space-group type is P-1, No. 2.


# 4
Computed, not measured: crystalline Pr15Er4Tm at its relaxed geometry at the PBE level of DFT.

Structure (POSCAR):
```
Pr15Er4Tm
1.0
5.1832 0.0000 0.0000
0.0000 5.1832 0.0000
0.0000 0.0000 25.7957
Pr Er Tm
15 4 1
Direct
0.0000 0.0000 0.0000
0.0000 0.0000 0.2000
0.0000 0.0000 0.4000
0.0000 0.0000 0.6000
0.0000 0.0000 0.8000
0.0000 0.5000 0.0999
0.0000 0.5000 0.3000
0.0000 0.5000 0.5000
0.0000 0.5000 0.7000
0.0000 0.5000 0.9001
0.5000 0.0000 0.0999
0.5000 0.0000 0.3000
0.5000 0.0000 0.5000
0.5000 0.0000 0.7000
0.5000 0.0000 0.9001
0.5000 0.5000 0.2000
0.5000 0.5000 0.4001
0.5000 0.5000 0.5999
0.5000 0.5000 0.8000
0.5000 0.5000 0.0000
```

Properties
The value obtained for the magnetization is 0.00 μB per cell. For the raw total energy, the calculation gives -4.71 eV/atom. Its space-group type is P4/mmm, No. 123.